A plane-wave DFT calculation with PBE-GGA was carried out for a relaxed structure of Y2Ga3Ni5.

Properties
**Energy above the lowest structure with this stoichiometry**: 0.000 eV/atom
**Final energy**: -5.5948 eV/atom
**Formation energy**: -0.5033 eV per atom

Cell lengths 4.179, 7.073, 10.810 Å; angles 90.00, 101.15, 90.00 degrees
Sites, in units of the cell vectors:
Y 0.154 0.688 0.309
Ga 0.744 0.856 0.488
Y 0.846 0.188 0.691
Ga 0.943 0.493 0.886
Y 0.484 0.194 0.968
Ni 0.262 0.023 0.524
Ni 0.716 0.183 0.433
Ni 0.382 0.485 0.764
Ga 0.380 0.868 0.760
Ni 0.618 0.985 0.236
Ni 0.151 0.182 0.302
Ga 0.256 0.356 0.512
Y 0.516 0.694 0.032
Ni 0.738 0.523 0.476
Ni 0.945 0.893 0.890
Ni 0.284 0.683 0.567
Ga 0.620 0.368 0.240
Ga 0.057 0.993 0.114
Ni 0.849 0.682 0.698
Ni 0.055 0.393 0.110

A plane-wave DFT calculation with PBE-GGA was carried out for a relaxed structure of YGaNi4.

Properties
**Final energy**: -5.7490 eV/atom
**Formation energy**: -0.3130 eV per atom

Cell lengths 3.818, 5.979, 7.793 Å; angles 90.00, 104.18, 90.00 degrees
Sites, in units of the cell vectors:
Y 0.898 0.750 0.797
Ni 0.500 0.500 0.000
Ni 0.334 0.054 0.668
Ni 0.922 0.250 0.844
Ni 0.334 0.446 0.668
Ga 0.766 0.250 0.532
Ga 0.234 0.750 0.468
Ni 0.500 0.000 0.000
Ni 0.666 0.554 0.332
Ni 0.666 0.946 0.332
Y 0.102 0.250 0.203
Ni 0.078 0.750 0.156

A plane-wave DFT calculation with PBE-GGA was carried out for a relaxed structure of YGa3Ni.

Properties
**Final energy**: -4.5994 eV/atom
**Formation energy**: -0.3342 eV per atom

Cell lengths 4.569, 4.569, 4.569 Å; angles 90.00, 90.00, 90.00 degrees
Sites, in units of the cell vectors:
Y 0.500 0.500 0.500
Ga 0.500 0.000 0.000
Ga 0.000 0.500 0.000
Ga 0.000 0.000 0.500
Ni 0.000 0.000 0.000

- formation energy of number 3 (YGa3Ni)?
  -0.3342 eV per atom